The following is a GGA-PBE calculation of a relaxed LaCo2Ru2 crystal, from the Alexandria database.

a = 4.1870 Å, b = 4.1870 Å, c = 9.9476 Å
α = 90.00°, β = 90.00°, γ = 90.00°
Space group I4/mmm (No. 139)
One atom of each set of equivalent atoms:
1 La 0.0000 0.0000 0.0000 [2 per cell]
2 Co 0.0000 0.5000 0.2500 [4 per cell]
3 Ru 0.0000 0.0000 0.3784 [4 per cell]

E: -7.430 eV per atom
E_form: 0.1080 eV/atom
E above lowest polymorph: 14.7 meV/atom